VASP calculation (PBE-GGA) on an optimized crystal structure of SrNdAs2Pd4.

Calculated values
Calculated formation energy, eV/atom: -0.67
Calculated volume, Å³/atom: 22.2

Cell: 4.1808 4.1808 10.1770 Å, 90.00 90.00 90.00°
Closest atoms and distances in Å follow each position.
Atoms (fractional coordinates):
Sr: 0.0000 0.0000 0.0000  8 As 3.36, 8 Pd 3.61
Nd: 0.0000 0.0000 0.5000  8 Pd 3.00
As: 0.5000 0.5000 0.1564  4 Pd 2.49
As: 0.5000 0.5000 0.8436  4 Pd 2.49
Pd: 0.0000 0.5000 0.2892  2 As 2.49
Pd: 0.0000 0.5000 0.7108  2 As 2.49
Pd: 0.5000 0.0000 0.2892  2 As 2.49
Pd: 0.5000 0.0000 0.7108  2 As 2.49



VASP calculation (PBE-GGA) on an optimized crystal structure of SrNdAs2Pd2.

Calculated values
Calculated formation energy, eV/atom: -1.10
Calculated volume, Å³/atom: 23.0

Cell: 4.3504 4.3504 8.4111 Å, 90.00 90.00 120.00°
Closest atoms and distances in Å follow each position.
Atoms (fractional coordinates):
Sr: 0.0000 0.0000 0.0000  6 Pd 3.34, 6 As 3.37
Nd: 0.0000 0.0000 0.5000  6 As 3.19, 6 Pd 3.21
As: 0.3333 0.6667 0.2671  3 Pd 2.51
As: 0.6667 0.3333 0.7329  3 Pd 2.51
Pd: 0.3333 0.6667 0.7385  3 As 2.51
Pd: 0.6667 0.3333 0.2615  3 As 2.51